1.
DFT (PBE-GGA) results for a geometry-optimized AlAuSN2 structure.

formation energy from raw total energies	1.534	eV per atom
E above lowest polymorph	699.4	meV/atom

Cell: 3.862 3.862 7.491 Å, 90.00 90.00 90.00°
Fractional coordinates of all 5 atoms:
Al1 0.000 0.000 0.000
Au1 0.500 0.500 0.500
S1 0.500 0.500 0.000
N1 0.000 0.500 0.500
N2 0.500 0.000 0.500



2.
DFT (PBE-GGA) results for a geometry-optimized DyErPd4 structure.

E above lowest polymorph	0.0	meV/atom

Cell: 5.434 5.434 5.434 Å, 60.00 60.00 60.00°
Fractional coordinates of all 6 atoms:
Dy1 0.000 0.000 0.000
Er1 0.250 0.250 0.250
Pd1 0.125 0.625 0.625
Pd2 0.625 0.125 0.625
Pd3 0.625 0.625 0.125
Pd4 0.625 0.625 0.625



3.
DFT (PBE-GGA) results for a geometry-optimized Pm7YHo2 structure.

E_tot	-0.156	hartree per atom

Cell: 9.402 9.402 5.617 Å, 90.00 90.00 124.23°
Fractional coordinates of all 10 atoms:
Pm1 0.000 0.000 0.000
Pm2 0.209 0.434 0.000
Pm3 0.285 0.715 0.500
Pm4 0.434 0.209 0.000
Pm5 0.566 0.791 0.000
Pm6 0.715 0.285 0.500
Pm7 0.791 0.566 0.000
Y1 0.500 0.500 0.500
Ho1 0.205 0.795 0.000
Ho2 0.795 0.205 0.000



4.
DFT (PBE-GGA) results for a geometry-optimized HfAsI2N structure.

formation energy from raw total energies	0.216	eV per atom
E above lowest polymorph	0.0	meV/atom

Cell: 5.876 5.876 3.946 Å, 90.00 90.00 90.00°
Fractional coordinates of all 5 atoms:
Hf1 0.000 0.000 0.000
As1 0.500 0.500 0.500
I1 0.000 0.500 0.000
I2 0.500 0.000 0.000
N1 0.000 0.000 0.500